CsP3Ir: relaxed, GGA-PBE.

Summary:
Total magnetization, μB per cell: 0.00
DOS at the Fermi energy, states/eV/f.u.: 6.4
Formation enthalpy at 0 K, meV per atom: 2983
ρ, g/cm3: 4.94
DFT total energy, eV per cell: -11.0

Unit cell a=5.199 b=5.199 c=5.199 alpha=90.00 beta=90.00 gamma=90.00
Space group Pm-3m (No. 221)
Asymmetric unit:
Cs 0.000 0.000 0.000
P 0.000 0.000 0.500
Ir 0.500 0.500 0.500

=====

BaLi3Ge2: relaxed, GGA-PBE.

Summary:
Total magnetization, μB per cell: 0.00
DOS at the Fermi energy, states/eV/f.u.: 2.8
Formation enthalpy at 0 K, meV per atom: -369
ρ, g/cm3: 3.69
DFT total energy, eV per cell: -76.5

Unit cell a=16.471 b=4.622 c=7.836 alpha=90.00 beta=113.79 gamma=90.00
Space group C2/m (No. 12)
Asymmetric unit:
Ba 0.159 0.000 0.086
Li 0.021 0.000 0.350
Li 0.092 0.500 0.656
Li 0.183 0.500 0.447
Ge 0.012 0.500 0.161
Ge 0.173 0.000 0.644

=====

LiMnW2: relaxed, GGA-PBE.

Summary:
Total magnetization, μB per cell: 5.79
DOS at the Fermi energy, states/eV/f.u.: 3.7
Formation enthalpy at 0 K, meV per atom: 333
ρ, g/cm3: 11.47
DFT total energy, eV per cell: -71.3

Unit cell a=3.116 b=4.411 c=9.047 alpha=90.00 beta=90.00 gamma=90.00
Space group Cmm2 (No. 35)
Asymmetric unit:
Li 0.000 0.000 0.000
Mn 0.000 0.500 0.255
W 0.000 0.000 0.486
W 0.000 0.500 0.736

=====

- Which formula does entry 1 have?
  CsP3Ir